1.
Crystalline Pa4Ga12Fe at its relaxed geometry. Source: the Alexandria database, functional PBE-GGA.

## Properties
Crystal system ... cubic

Cell: 7.447 7.447 7.447 Å, 109.47 109.47 109.47°
Atoms (fractional coordinates):
Fe 0.000 0.000 0.000
Ga 0.500 0.250 0.750
Ga 0.286 0.286 0.000
Ga 0.750 0.250 0.500
Ga 0.714 0.714 0.000
Ga 0.714 0.000 0.714
Pa 0.000 0.500 0.000
Ga 0.250 0.500 0.750
Ga 0.000 0.714 0.714
Ga 0.500 0.750 0.250
Pa 0.500 0.500 0.500
Ga 0.286 0.000 0.286
Pa 0.000 0.000 0.500
Ga 0.250 0.750 0.500
Ga 0.000 0.286 0.286
Ga 0.750 0.500 0.250
Pa 0.500 0.000 0.000

2.
Crystalline PaGa4Fe at its relaxed geometry. Source: the Alexandria database, functional PBE-GGA.

## Properties
Crystal system ... orthorhombic
Energy above the lowest structure with this stoichiometry ... 0.000 eV/atom

Cell: 4.118 6.656 7.417 Å, 90.00 90.00 90.00°
Atoms (fractional coordinates):
Fe 0.000 0.229 0.750
Ga 0.000 0.000 0.500
Pa 0.000 0.624 0.750
Ga 0.500 0.957 0.750
Ga 0.500 0.043 0.250
Ga 0.500 0.681 0.434
Pa 0.000 0.376 0.250
Ga 0.000 0.000 0.000
Fe 0.000 0.771 0.250
Ga 0.500 0.319 0.566
Ga 0.500 0.319 0.934
Ga 0.500 0.681 0.066

| no. | DFT formation energy (kJ per mole of atoms) | DOS(E_F) (states/eV per atom) | volume (Å³/cell) |
| --- | --- | --- | --- |
| 1 | -37.7 | 0.605 | 317.9 |
| 2 | -31.0 | 0.738 | 203.3 |